Record 1
A relaxed structure of TbDySb. Source: Alexandria, functional PBE-GGA.

## Properties
Calculated volume   27.6 A^3/atom
Energy   -15.41 eV per formula unit
Magnetization   0.03 μB/cell
Density of states at the Fermi level   1.00 states/eV per atom

Cell and atoms, written as CIF:
```
data_TbDySb
_chemical_formula_sum 'Tb4 Dy4 Sb4'
_cell_length_a 4.287
_cell_length_b 15.978
_cell_length_c 4.835
_cell_angle_alpha 90.00
_cell_angle_beta 90.00
_cell_angle_gamma 90.00
_space_group_name_H-M_alt 'C m c m'
_space_group_IT_number 63
_space_group_name_Hall '-C 2c 2'
loop_
_atom_site_label
_atom_site_fract_x
_atom_site_fract_y
_atom_site_fract_z
_atom_site_occupancy
Tb1 0.000 0.249 0.250 1
Dy1 0.000 0.426 0.750 1
Sb1 0.000 0.099 0.750 1
```

Record 2
A relaxed structure of YHo6. Source: Alexandria, functional PBE-GGA.

## Properties
Calculated volume   36.9 A^3/atom
Excess energy over the best structure of this formula in the dataset   1249 meV/atom
Magnetization   0.00 μB/cell
Density of states at the Fermi level   1.04 states/eV per atom

Cell and atoms, written as CIF:
```
data_YHo6
_chemical_formula_sum 'Y2 Ho12'
_cell_length_a 8.025
_cell_length_b 8.025
_cell_length_c 8.025
_cell_angle_alpha 90.00
_cell_angle_beta 90.00
_cell_angle_gamma 90.00
_space_group_name_H-M_alt 'I m -3 m'
_space_group_IT_number 229
_space_group_name_Hall '-I 4 2 3'
loop_
_atom_site_label
_atom_site_fract_x
_atom_site_fract_y
_atom_site_fract_z
_atom_site_occupancy
Y1 0.000 0.000 0.000 1
Ho1 0.000 0.250 0.500 1
```